# 1
The following is a PBE calculation of a relaxed CsZrRe2 crystal, from Alexandria via LeMat-Bulk.

Properties
Crystal system: cubic
Total moment: 0.000 μB per atom
E: -6.76 eV per atom
Energy of formation: 1.8095 eV/atom

a = 6.8848 Å, b = 6.8848 Å, c = 6.8848 Å
α = 90.00°, β = 90.00°, γ = 90.00°
Space group Fm-3m (No. 225)
Unique sites:
Cs  0.0000  0.0000  0.0000
Zr  0.0000  0.0000  0.5000
Re  0.2500  0.2500  0.2500

---

# 2
The following is a PBE calculation of a relaxed AgPd2S2 crystal, from Alexandria via LeMat-Bulk.

Properties
Crystal system: tetragonal
Total moment: 0.000 μB per atom
Raw formation energy: 0.043 eV per atom
E: -4.26 eV per atom

a = 7.0741 Å, b = 7.0741 Å, c = 3.2857 Å
α = 90.00°, β = 90.00°, γ = 90.00°
Space group P4/mbm (No. 127)
Unique sites:
Ag  0.0000  0.0000  0.0000
Pd  0.1595  0.3405  0.5000
S  0.1586  0.6586  0.0000

---

# 3
The following is a PBE calculation of a relaxed Rb3Dy3ZrSe8 crystal, from Alexandria via LeMat-Bulk.

Properties
Crystal system: trigonal
Total moment: 0.000 μB per atom
Raw formation energy: -1.667 eV per atom
E: -5.21 eV per atom

a = 8.2716 Å, b = 8.2716 Å, c = 24.4854 Å
α = 90.00°, β = 90.00°, γ = 120.00°
Space group R-3m (No. 166, hexagonal axes)
Unique sites:
Rb  0.0000  0.5000  0.0000
Dy  0.0000  0.5000  0.5000
Zr  0.0000  0.0000  0.5000
Se  0.0000  0.0000  0.2318
Se  0.0142  0.5071  0.2296

---

# 4
The following is a PBE calculation of a relaxed CeTcGe crystal, from Alexandria via LeMat-Bulk.

Properties
Crystal system: orthorhombic
Total moment: 0.000 μB per atom
E: -7.51 eV per atom
Energy of formation: -0.5360 eV/atom

a = 7.2184 Å, b = 4.6876 Å, c = 6.9632 Å
α = 90.00°, β = 90.00°, γ = 90.00°
Space group Pnma (No. 62)
Unique sites:
Ce  0.0282  0.2500  0.1892
Tc  0.1514  0.7500  0.4578
Ge  0.1997  0.2500  0.6156

---

Repeat the first record exactly.
The following is a PBE calculation of a relaxed CsZrRe2 crystal, from Alexandria via LeMat-Bulk.

Properties
Crystal system: cubic
Total moment: 0.000 μB per atom
E: -6.76 eV per atom
Energy of formation: 1.8095 eV/atom

a = 6.8848 Å, b = 6.8848 Å, c = 6.8848 Å
α = 90.00°, β = 90.00°, γ = 90.00°
Space group Fm-3m (No. 225)
Unique sites:
Cs  0.0000  0.0000  0.0000
Zr  0.0000  0.0000  0.5000
Re  0.2500  0.2500  0.2500

---

Copy entry 2 word for word.
The following is a PBE calculation of a relaxed AgPd2S2 crystal, from Alexandria via LeMat-Bulk.

Properties
Crystal system: tetragonal
Total moment: 0.000 μB per atom
Raw formation energy: 0.043 eV per atom
E: -4.26 eV per atom

a = 7.0741 Å, b = 7.0741 Å, c = 3.2857 Å
α = 90.00°, β = 90.00°, γ = 90.00°
Space group P4/mbm (No. 127)
Unique sites:
Ag  0.0000  0.0000  0.0000
Pd  0.1595  0.3405  0.5000
S  0.1586  0.6586  0.0000

---

Look up the total moment of the fourth one. 0.000 μB per atom

---

Repeat the fourth record exactly.
The following is a PBE calculation of a relaxed CeTcGe crystal, from Alexandria via LeMat-Bulk.

Properties
Crystal system: orthorhombic
Total moment: 0.000 μB per atom
E: -7.51 eV per atom
Energy of formation: -0.5360 eV/atom

a = 7.2184 Å, b = 4.6876 Å, c = 6.9632 Å
α = 90.00°, β = 90.00°, γ = 90.00°
Space group Pnma (No. 62)
Unique sites:
Ce  0.0282  0.2500  0.1892
Tc  0.1514  0.7500  0.4578
Ge  0.1997  0.2500  0.6156